## Pr4Y8Er3 (PBE)

Data for a relaxed Pr4Y8Er3 crystal.

As for the calculated density: 5.73 g/cm³. The value obtained for the density of states at the Fermi level is 60.283 states/eV/cell. Its crystal system is monoclinic. The calculation puts the formation energy at 0.36 eV/atom.

The space group is C2/m (No. 12) and the conventional cell measures 13.537, 12.910 and 6.802 Å, with angles of 90.00, 120.00 and 90.00 degrees. The distinct sites, in fractional coordinates, are Pr at (0.000, 0.000, 0.000), Pr at (0.000, 0.000, 0.500), Pr at (0.250, 0.250, 0.000), Y at (0.000, 0.255, 0.000), Y at (0.000, 0.361, 0.500), Y at (0.229, 0.500, 0.962), Y at (0.233, 0.500, 0.485), Er at (0.000, 0.500, 0.000) and Er at (0.250, 0.250, 0.500).